Density functional theory data (PBE) for ThZnI after structural relaxation.

abc: 4.3235 4.3235 12.4886
angles: 100.10 100.10 60.00
Last column: nearest neighbours and their distance in Å.
Element x y z (fractional)
Th1 0.0530 0.0530 0.1571  6 Zn 3.02-3.29, 3 I 3.30
Th2 0.9470 0.9470 0.8429  6 Zn 3.02-3.29, 3 I 3.30
Zn1 0.3393 0.3393 0.0178  3 Zn 2.53
Zn2 0.6607 0.6607 0.9822  3 Zn 2.53
I1 0.2209 0.2209 0.6669  3 Th 3.30
I2 0.7791 0.7791 0.3331  3 Th 3.30

DOS at the Fermi energy ... 1.60 states/eV/f.u.
Electronic total energy ... -24.65 eV for the cell shown
Crystal system ... monoclinic
SG ... C2/m (12)